The following is a PBE-GGA calculation of a geometry-optimized TaInRh3 structure, from Alexandria via LeMat-Bulk.

```
5
Lattice="4.710 0.000 0.000 0.000 4.710 0.000 0.000 0.000 4.710" Properties=species:S:1:pos:R:3 pbc="T T T"
Ta 0.000 0.000 0.000
In 2.355 2.355 2.355
Rh 0.000 2.355 2.355
Rh 2.355 0.000 2.355
Rh 2.355 2.355 0.000
```

Calculated values
Its crystal system is cubic. For the calculated density, the calculation gives 9.61 g/cm3. The total magnetization comes out at 0.0 μB/f.u. As for the formation energy: 1.44 eV/atom.